GGA-PBE PmSmAg, relaxed; E above lowest polymorph = 11 meV/atom
1.0
-3.420 0.053 -1.398
1.286 -1.334 -3.196
0.119 -5.285 4.389
Ag Pm Sm
1 1 1
Cartesian
-1.380 -2.599 -1.606
-0.598 -3.741 1.321
-0.036 -0.226 0.080



Density functional theory data (GGA-PBE) for a geometry-optimized DyHoPu2P4 structure.

Cell and atoms, written as POSCAR:
```
DyHoPu2P4
1.0
4.005 0.000 0.000
0.000 6.935 0.119
0.000 -2.424 6.432
Ho P Pu Dy
1 4 2 1
Cartesian
2.003 3.468 0.060
0.000 -0.079 4.824
0.000 4.591 1.728
2.003 1.132 1.671
2.003 3.380 4.880
2.003 -1.212 3.216
0.000 2.256 3.276
0.000 0.000 0.000
```



Density functional theory data (GGA-PBE) for a geometry-optimized BeCuGeRh structure.

Cell and atoms, written as POSCAR:
```
BeCuGeRh
1.0
-1.065 -3.963 0.446
1.707 -2.880 -2.414
2.692 -2.694 1.590
Ge Be Rh Cu
1 1 1 1
Cartesian
0.834 -2.384 -0.094
2.501 -7.152 -0.283
0.000 0.000 0.000
1.667 -4.768 -0.189
```



Total magnetic moment (μB/f.u.)
0.62; 9.85; 0.00
ΔH_f (0 K) (eV/atom)
-0.151; -1.385; -0.177